Material: CaPr4YSe8
Method: DFT, PBE-GGA
State: optimized geometry

The structure in POSCAR format:
```
CaPr4YSe8
1.0
4.366 2.521 7.057
-4.366 2.521 7.057
0.000 -5.041 7.057
Ca Pr Y Se
1 4 1 8
Direct
0.000 0.000 0.000
0.118 0.626 0.626
0.248 0.248 0.248
0.626 0.118 0.626
0.626 0.626 0.118
0.627 0.627 0.627
0.382 0.382 0.382
0.389 0.389 0.846
0.389 0.846 0.389
0.399 0.861 0.861
0.846 0.389 0.389
0.861 0.399 0.861
0.861 0.861 0.399
0.867 0.867 0.867
```

Properties
DOS at the Fermi energy = 0.268 states/eV per atom
SG = R3m, No. 160
uncorrected formation energy = -1.798 eV/atom
calculated total energy = -5.759 eV/atom



Material: Ca4PrY3Se8
Method: DFT, PBE-GGA
State: optimized geometry

The structure in POSCAR format:
```
Ca4PrY3Se8
1.0
4.135 2.388 6.889
-4.135 2.388 6.889
0.000 -4.775 6.889
Ca Pr Y Se
4 1 3 8
Direct
0.000 0.000 0.000
0.000 0.500 0.500
0.500 0.000 0.500
0.500 0.500 0.000
0.500 0.500 0.500
0.000 0.000 0.500
0.000 0.500 0.000
0.500 0.000 0.000
0.243 0.754 0.754
0.246 0.246 0.757
0.246 0.757 0.246
0.248 0.248 0.248
0.752 0.752 0.752
0.754 0.243 0.754
0.754 0.754 0.243
0.757 0.246 0.246
```

Properties
DOS at the Fermi energy = 0.342 states/eV per atom
SG = R-3m, No. 166
uncorrected formation energy = -1.887 eV/atom
calculated total energy = -5.640 eV/atom



Material: Ca2PrYSe4
Method: DFT, PBE-GGA
State: optimized geometry

The structure in POSCAR format:
```
Ca2PrYSe4
1.0
7.211 0.000 0.000
0.000 4.158 0.000
-2.397 0.000 6.936
Ca Pr Y Se
2 1 1 4
Direct
0.000 0.000 0.000
0.500 0.500 0.000
0.000 0.500 0.500
0.500 0.000 0.500
0.257 0.500 0.250
0.259 0.000 0.755
0.741 0.000 0.245
0.743 0.500 0.750
```

Properties
DOS at the Fermi energy = 0.429 states/eV per atom
SG = P2/m, No. 10
uncorrected formation energy = -1.890 eV/atom
calculated total energy = -5.539 eV/atom



Material: CaPr3Y3Se8
Method: DFT, PBE-GGA
State: optimized geometry

The structure in POSCAR format:
```
CaPr3Y3Se8
1.0
4.145 2.393 6.876
-4.145 2.393 6.876
0.000 -4.787 6.876
Ca Pr Y Se
1 3 3 8
Direct
0.000 0.000 0.000
0.000 0.000 0.500
0.000 0.500 0.000
0.500 0.000 0.000
0.000 0.500 0.500
0.500 0.000 0.500
0.500 0.500 0.000
0.251 0.251 0.739
0.251 0.739 0.251
0.255 0.255 0.255
0.261 0.749 0.749
0.739 0.251 0.251
0.745 0.745 0.745
0.749 0.261 0.749
0.749 0.749 0.261
```

Properties
DOS at the Fermi energy = 0.229 states/eV per atom
SG = R-3m, No. 166
uncorrected formation energy = -1.886 eV/atom
calculated total energy = -6.127 eV/atom



Material: CaPr2YSe4
Method: DFT, PBE-GGA
State: optimized geometry

The structure in POSCAR format:
```
CaPr2YSe4
1.0
7.239 0.000 0.000
0.000 4.164 0.000
-2.383 0.000 6.961
Ca Pr Y Se
1 2 1 4
Direct
0.000 0.000 0.000
0.000 0.500 0.500
0.500 0.000 0.500
0.500 0.500 0.000
0.248 0.500 0.237
0.256 0.000 0.765
0.744 0.000 0.235
0.752 0.500 0.763
```

Properties
DOS at the Fermi energy = 0.423 states/eV per atom
SG = P2/m, No. 10
uncorrected formation energy = -1.859 eV/atom
calculated total energy = -5.854 eV/atom



Material: Ca3PrY2Se6
Method: DFT, PBE-GGA
State: optimized geometry

The structure in POSCAR format:
```
Ca3PrY2Se6
1.0
3.594 -6.218 0.000
3.594 6.218 0.000
-2.402 0.000 6.892
Ca Pr Y Se
3 1 2 6
Direct
0.000 0.000 0.000
0.336 0.664 0.000
0.664 0.336 0.000
0.500 0.500 0.500
0.168 0.832 0.500
0.832 0.168 0.500
0.074 0.416 0.249
0.240 0.240 0.750
0.416 0.074 0.249
0.584 0.926 0.751
0.760 0.760 0.250
0.926 0.584 0.751
```

Properties
DOS at the Fermi energy = 0.383 states/eV per atom
SG = C2/m, No. 12
uncorrected formation energy = -1.889 eV/atom
calculated total energy = -5.608 eV/atom



What is the DOS at the Fermi energy in the second record?
0.342 states/eV per atom